*1*
Computed, not measured: a relaxed structure of KTa2Br at the PBE-GGA level of DFT.

Structure (POSCAR):
```
KTa2Br
1.0
2.808 0.000 0.000
0.000 5.542 0.000
0.000 0.000 7.139
K Ta Br
1 2 1
direct
0.000 0.000 0.000
0.500 0.246 0.500
0.500 0.754 0.500
0.000 0.500 0.000
```

Computed properties:
Density of states at the Fermi level (states/eV per cell): 4.5
Mass density (g/cm³): 7.188
SG: No. 47

=====

*2*
Computed, not measured: a relaxed structure of KTa2Br at the PBE-GGA level of DFT.

Structure (POSCAR):
```
KTa2Br
1.0
3.025 0.000 0.000
0.000 3.025 0.000
0.000 0.000 10.093
K Ta Br
1 2 1
direct
0.000 0.000 0.000
0.500 0.500 0.316
0.500 0.500 0.684
0.000 0.000 0.500
```

Computed properties:
Density of states at the Fermi level (states/eV per cell): 3.7
Mass density (g/cm³): 8.646
SG: No. 123

=====

Energy comparison, zero being the most stable, in eV/atom: *1* 0.018; *2* 0.000.

=====

*1*
Computed, not measured: a relaxed structure of SiH at the PBE-GGA level of DFT.

Structure (POSCAR):
```
SiH
1.0
10.544 0.000 0.000
0.000 3.873 0.000
0.000 0.000 6.405
Si H
8 8
direct
0.024 0.250 0.210
0.096 0.250 0.854
0.404 0.750 0.354
0.476 0.750 0.710
0.524 0.250 0.290
0.596 0.250 0.646
0.904 0.750 0.146
0.976 0.750 0.790
0.108 0.250 0.400
0.232 0.250 0.786
0.268 0.750 0.286
0.392 0.750 0.900
0.608 0.250 0.100
0.732 0.250 0.714
0.768 0.750 0.214
0.892 0.750 0.600
```

Computed properties:
Mass density (g/cm³): 1.478
SG: No. 62

=====

*2*
Computed, not measured: a relaxed structure of SiH at the PBE-GGA level of DFT.

Structure (POSCAR):
```
SiH
1.0
3.877 0.000 0.000
-1.939 3.358 0.000
0.000 0.000 5.253
Si H
2 2
direct
0.333 0.667 0.432
0.667 0.333 0.568
0.333 0.667 0.146
0.667 0.333 0.854
```

Computed properties:
Density of states at the Fermi level (states/eV per cell): 0.0
Mass density (g/cm³): 1.413
SG: No. 164

=====

Energy comparison, zero being the most stable, in eV/atom: *1* 0.129; *2* 0.000.

=====

*1*
Computed, not measured: a relaxed structure of SrMg2Tc at the PBE-GGA level of DFT.

Structure (POSCAR):
```
SrMg2Tc
1.0
4.594 0.000 0.000
0.000 4.594 0.000
0.000 0.000 8.762
Sr Mg Tc
2 4 2
direct
0.000 0.000 0.000
0.500 0.500 0.500
0.000 0.000 0.500
0.000 0.500 0.250
0.500 0.000 0.750
0.500 0.500 0.000
0.000 0.500 0.750
0.500 0.000 0.250
```

Computed properties:
Density of states at the Fermi level (states/eV per cell): 3.9
Mass density (g/cm³): 4.207
SG: No. 119

=====

*2*
Computed, not measured: a relaxed structure of SrMg2Tc at the PBE-GGA level of DFT.

Structure (POSCAR):
```
SrMg2Tc
1.0
3.186 0.000 0.000
0.000 3.853 0.000
0.000 0.000 7.879
Sr Mg Tc
1 2 1
direct
0.000 0.000 0.000
0.000 0.000 0.419
0.500 0.500 0.639
0.500 0.500 0.272
```

Computed properties:
Density of states at the Fermi level (states/eV per cell): 3.7
Mass density (g/cm³): 4.022
SG: No. 25

=====

Energy comparison, zero being the most stable, in eV/atom: *1* 0.137; *2* 0.000.

=====

*1*
Computed, not measured: a relaxed structure of La3CoPb at the PBE-GGA level of DFT.

Structure (POSCAR):
```
La3CoPb
1.0
-3.036 3.036 11.514
3.036 -3.036 11.514
3.036 3.036 -11.514
La Co Pb
6 2 2
direct
0.217 0.217 0.000
0.373 0.137 0.764
0.373 0.610 0.236
0.390 0.627 0.764
0.783 0.783 0.000
0.863 0.627 0.236
0.703 0.203 0.500
0.797 0.297 0.500
0.250 0.750 0.500
0.500 0.500 0.000
```

Computed properties:
Density of states at the Fermi level (states/eV per cell): 20.5
Mass density (g/cm³): 5.343
SG: No. 119

=====

*2*
Computed, not measured: a relaxed structure of La3CoPb at the PBE-GGA level of DFT.

Structure (POSCAR):
```
La3CoPb
1.0
8.379 0.000 0.000
0.000 4.814 0.000
-4.167 0.000 7.292
La Co Pb
6 2 2
direct
0.068 0.250 0.333
0.288 0.250 0.926
0.341 0.750 0.260
0.659 0.250 0.740
0.712 0.750 0.074
0.932 0.750 0.667
0.035 0.250 0.990
0.965 0.750 0.010
0.329 0.750 0.652
0.671 0.250 0.348
```

Computed properties:
Density of states at the Fermi level (states/eV per cell): 13.3
Mass density (g/cm³): 7.710
SG: No. 11

=====

Energy comparison, zero being the most stable, in eV/atom: *1* 0.896; *2* 0.000.